(1)
Density functional theory data (GGA-PBE) for HoUS3 after structural relaxation.

Computed properties:
* calculated volume: 294.00 Å³ per cell
* uncorrected energy: -7.2782 eV/atom

Structure (CIF):
```
data_HoUS3
_chemical_formula_sum 'Ho2 U2 S6'
_space_group_name_H-M_alt 'P 1'
_space_group_IT_number 1
_cell_length_a 6.9467
_cell_length_b 6.9907
_cell_length_c 6.9907
_cell_angle_alpha 120.00
_cell_angle_beta 90.00
_cell_angle_gamma 90.00
loop_
_space_group_symop_operation_xyz
'x,y,z'
loop_
_atom_site_label
_atom_site_fract_x
_atom_site_fract_y
_atom_site_fract_z
U1 0.5000 0.0000 0.0000
U2 0.0000 0.0000 0.0000
S1 0.2500 0.3351 0.0784
S2 0.2500 0.7433 0.6649
S3 0.7500 0.7433 0.0784
S4 0.7500 0.9216 0.6649
S5 0.2500 0.9216 0.2567
S6 0.7500 0.3351 0.2567
Ho1 0.5000 0.6667 0.3333
Ho2 0.0000 0.6667 0.3333
```

=====

(2)
Density functional theory data (GGA-PBE) for Tb6Ce2Pm3Y after structural relaxation.

Computed properties:
* ΔE_f: 0.05 eV per atom
* calculated volume: 387.52 Å³ per cell

Structure (CIF):
```
data_Tb6Ce2Pm3Y
_chemical_formula_sum 'Tb6 Ce2 Pm3 Y1'
_space_group_name_H-M_alt 'P 1'
_space_group_IT_number 1
_cell_length_a 6.1983
_cell_length_b 6.1983
_cell_length_c 11.8279
_cell_angle_alpha 95.01
_cell_angle_beta 95.01
_cell_angle_gamma 119.99
loop_
_space_group_symop_operation_xyz
'x,y,z'
loop_
_atom_site_label
_atom_site_fract_x
_atom_site_fract_y
_atom_site_fract_z
Ce1 0.3335 0.6665 0.0000
Ce2 0.6665 0.3335 0.0000
Pm1 0.1661 0.8339 0.5000
Pm2 0.5000 0.5000 0.5000
Pm3 0.8339 0.1661 0.5000
Tb1 0.2535 0.2535 0.7531
Tb2 0.9173 0.5811 0.7533
Tb3 0.0827 0.4189 0.2467
Tb4 0.7465 0.7465 0.2469
Tb5 0.4189 0.0827 0.2467
Tb6 0.5811 0.9173 0.7533
Y1 0.0000 0.0000 0.0000
```